a) The following is a PBE calculation of an optimized crystal structure of CsLiTb, from the Open Quantum Materials Database.

Results
Its space group is F-43m (216).

The structure in POSCAR format:
```
CsLiTb
1.0
0.0000 4.1008 4.1008
4.1008 0.0000 4.1008
4.1008 4.1008 0.0000
Tb Li Cs
1 1 1
direct
0.7500 0.7500 0.7500 Tb
0.0000 0.0000 0.0000 Li
0.2500 0.2500 0.2500 Cs
```

b) The following is a PBE calculation of an optimized crystal structure of CsLiTb, from the Open Quantum Materials Database.

Results
Its space group is F-43m (216).

The structure in POSCAR format:
```
CsLiTb
1.0
-3.2638 -4.7754 -0.5340
-3.0240 -1.9749 4.5494
-5.7933 0.4220 0.0408
Tb Li Cs
1 1 1
direct
0.2500 0.2500 0.2500 Tb
0.7500 0.7500 0.7500 Li
0.0000 0.0000 0.0000 Cs
```

The data favor a); the next most stable structure lies 0.295 eV/atom above it.

a) The following is a PBE calculation of an optimized crystal structure of CsLiTc, from the Open Quantum Materials Database.

Results
Its space group is F-43m (216).

The structure in POSCAR format:
```
CsLiTc
1.0
3.1019 3.7630 1.9611
-0.5859 1.5551 4.9866
3.6574 -1.2078 3.5766
Tc Cs Li
1 1 1
direct
0.7500 0.7500 0.7500 Tc
0.2500 0.2500 0.2500 Cs
0.0000 0.0000 0.0000 Li
```

b) The following is a PBE calculation of an optimized crystal structure of CsLiTc, from the Open Quantum Materials Database.

Results
Its space group is F-43m (216).

The structure in POSCAR format:
```
CsLiTc
1.0
0.0000 3.7374 3.7374
3.7374 0.0000 3.7374
3.7374 3.7374 0.0000
Cs Tc Li
1 1 1
direct
0.2500 0.2500 0.2500 Cs
0.0000 0.0000 0.0000 Tc
0.7500 0.7500 0.7500 Li
```

The data favor a); the next most stable structure lies 0.026 eV/atom above it.

a) The following is a PBE calculation of an optimized crystal structure of CsNaLu, from the Open Quantum Materials Database.

Results
Its space group is F-43m (216).

The structure in POSCAR format:
```
CsNaLu
1.0
-0.1190 1.0534 5.9990
-5.1744 -0.7601 3.1240
-0.5495 -4.6487 3.8985
Cs Na Lu
1 1 1
direct
0.0000 0.0000 0.0000 Cs
0.7500 0.7500 0.7500 Na
0.2500 0.2500 0.2500 Lu
```

b) The following is a PBE calculation of an optimized crystal structure of CsNaLu, from the Open Quantum Materials Database.

Results
Its space group is F-43m (216).

The structure in POSCAR format:
```
CsNaLu
1.0
-5.0756 -3.1043 -1.4023
-4.3671 2.6415 -3.3639
-0.9656 -1.8432 -5.7476
Lu Na Cs
1 1 1
direct
0.0000 0.0000 0.0000 Lu
0.7500 0.7500 0.7500 Na
0.2500 0.2500 0.2500 Cs
```

The data favor b); the next most stable structure lies 0.116 eV/atom above it.